[1]
Compound: Hg2RuBr
Source: Alexandria via LeMat-Bulk
Functional: PBEsol
Structure: optimized geometry

Summary:
**E_tot**: -11.259 eV/cell
**SG**: No. 123

abc: 3.1834 3.1834 8.0257
angles: 90.00 90.00 90.00
Closest atoms and distances in Å follow each position.
Fractional positions:
Hg 0.0000 0.0000 0.2106  4 Ru 2.81
Hg 0.0000 0.0000 0.7894  4 Ru 2.81
Ru 0.5000 0.5000 0.0000  8 Hg 2.81
Br 0.5000 0.5000 0.5000  4 Br 3.18, 8 Hg 3.23

=====

[2]
Compound: HgRu2Br
Source: Alexandria via LeMat-Bulk
Functional: PBEsol
Structure: optimized geometry

Summary:
**E_tot**: -18.414 eV/cell
**SG**: No. 119

abc: 4.9434 4.9434 4.9434
angles: 131.19 131.19 71.50
Closest atoms and distances in Å follow each position.
Fractional positions:
Hg 0.0000 0.0000 0.0000  8 Ru 2.86-2.89, 4 Br 2.86
Ru 0.5000 0.5000 0.0000  4 Ru 2.86, 4 Br 2.86, 4 Hg 2.89
Ru 0.7500 0.2500 0.5000  4 Hg 2.86, 4 Ru 2.86, 4 Br 2.89
Br 0.2500 0.7500 0.5000  4 Hg 2.86, 8 Ru 2.86-2.89

=====

[3]
Compound: Hg2RuBr
Source: Alexandria via LeMat-Bulk
Functional: PBEsol
Structure: optimized geometry

Summary:
**E_tot**: -10.377 eV/cell
**SG**: No. 139

abc: 5.5637 5.5637 5.5637
angles: 137.99 137.99 60.91
Closest atoms and distances in Å follow each position.
Fractional positions:
Hg 0.2500 0.7500 0.5000  4 Hg 2.82, 4 Br 3.12, 4 Ru 3.12
Hg 0.7500 0.2500 0.5000  4 Hg 2.82, 4 Br 3.12, 4 Ru 3.12
Ru 0.0000 0.0000 0.0000  4 Br 2.82, 8 Hg 3.12
Br 0.5000 0.5000 0.0000  4 Ru 2.82, 8 Hg 3.12

=====

[4]
Compound: HgRuBr
Source: Alexandria via LeMat-Bulk
Functional: PBEsol
Structure: optimized geometry

Summary:
**E_tot**: -10.855 eV/cell
**SG**: No. 42

abc: 7.6262 7.2680 3.1381
angles: 84.32 71.51 24.17
Closest atoms and distances in Å follow each position.
Fractional positions:
Hg 0.0000 0.0000 0.0000  2 Ru 2.74, 2 Hg 3.00
Ru 0.3385 0.3385 0.6615  2 Br 2.43
Br 0.7039 0.7039 0.2961  2 Ru 2.43

=====

[5]
Compound: Hg3S2Br2
Source: Alexandria via LeMat-Bulk
Functional: PBEsol
Structure: optimized geometry

Summary:
**E_tot**: -65.714 eV/cell
**SG**: No. 12

abc: 9.7551 9.7551 9.5940
angles: 90.54 90.54 56.69
Closest atoms and distances in Å follow each position.
Fractional positions:
Hg 0.0000 0.5000 0.0000  2 S 2.42
Hg 0.1024 0.6515 0.2997  2 S 2.44
Hg 0.2288 0.2288 0.2845  2 S 2.41
Hg 0.2360 0.7640 0.0000  2 S 2.41
Hg 0.3485 0.8976 0.7003  2 S 2.44
Hg 0.4734 0.4734 0.7312  2 S 2.41
Hg 0.5000 0.0000 0.0000  2 S 2.42
Hg 0.5266 0.5266 0.2688  2 S 2.41
Hg 0.6515 0.1024 0.2997  2 S 2.44
Hg 0.7640 0.2360 0.0000  2 S 2.41
Hg 0.7712 0.7712 0.7155  2 S 2.41
Hg 0.8976 0.3485 0.7003  2 S 2.44
S 0.0194 0.5051 0.7493  3 Hg 2.41-2.44
S 0.2261 0.7427 0.7500  3 Hg 2.41-2.44
S 0.2573 0.7739 0.2500  3 Hg 2.41-2.44
S 0.4949 0.9806 0.2507  3 Hg 2.41-2.44
S 0.5051 0.0194 0.7493  3 Hg 2.41-2.44
S 0.7427 0.2261 0.7500  3 Hg 2.41-2.44
S 0.7739 0.2573 0.2500  3 Hg 2.41-2.44
S 0.9806 0.4949 0.2507  3 Hg 2.41-2.44
Br 0.1149 0.1149 0.5028  3 Hg 2.82-2.88
Br 0.1263 0.1263 0.9766  7 Hg 3.09-3.42
Br 0.3750 0.3750 0.0132  5 Hg 3.16-3.26
Br 0.3753 0.3753 0.4777  4 Hg 2.94-3.11
Br 0.6247 0.6247 0.5223  4 Hg 2.94-3.11
Br 0.6250 0.6250 0.9868  5 Hg 3.16-3.26
Br 0.8737 0.8737 0.0234  7 Hg 3.09-3.42
Br 0.8851 0.8851 0.4972  3 Hg 2.82-2.88

=====

[6]
Compound: Hg2SBr
Source: Alexandria via LeMat-Bulk
Functional: PBEsol
Structure: optimized geometry

Summary:
**E_tot**: -6.553 eV/cell
**SG**: No. 225

abc: 4.9658 4.9658 4.9658
angles: 60.00 60.00 60.00
Closest atoms and distances in Å follow each position.
Fractional positions:
Hg 0.2500 0.2500 0.2500  4 Br 3.04, 4 S 3.04
Hg 0.7500 0.7500 0.7500  4 Br 3.04, 4 S 3.04
S 0.0000 0.0000 0.0000  8 Hg 3.04
Br 0.5000 0.5000 0.5000  8 Hg 3.04

=====

[7]
Compound: ZrHg3S2Br6
Source: Alexandria via LeMat-Bulk
Functional: PBEsol
Structure: optimized geometry

Summary:
**E_tot**: -79.574 eV/cell
**SG**: No. 14

abc: 6.9102 7.4403 13.3172
angles: 90.00 91.14 90.00
Closest atoms and distances in Å follow each position.
Fractional positions:
Zr 0.0000 0.0000 0.0000  6 Br 2.60-2.62
Zr 0.0000 0.5000 0.5000  6 Br 2.60-2.62
Hg 0.4925 0.2015 0.2396  2 S 2.41
Hg 0.4925 0.2985 0.7396  2 S 2.41
Hg 0.5000 0.0000 0.5000  2 S 2.45
Hg 0.5000 0.5000 0.0000  2 S 2.45
Hg 0.5075 0.7015 0.2604  2 S 2.41
Hg 0.5075 0.7985 0.7604  2 S 2.41
S 0.3521 0.5414 0.8329  3 Hg 2.41-2.45
S 0.3521 0.9586 0.3329  3 Hg 2.41-2.45
S 0.6479 0.0414 0.6671  3 Hg 2.41-2.45
S 0.6479 0.4586 0.1671  3 Hg 2.41-2.45
Br 0.1319 0.1922 0.5637  1 Zr 2.60
Br 0.1319 0.3078 0.0637  1 Zr 2.60
Br 0.1512 0.0459 0.8238  1 Zr 2.61
Br 0.1512 0.4541 0.3238  1 Zr 2.61
Br 0.3248 0.6483 0.5633  1 Zr 2.62
Br 0.3248 0.8517 0.0633  1 Zr 2.62
Br 0.6752 0.1483 0.9367  1 Zr 2.62
Br 0.6752 0.3517 0.4367  1 Zr 2.62
Br 0.8488 0.5459 0.6762  1 Zr 2.61
Br 0.8488 0.9541 0.1762  1 Zr 2.61
Br 0.8681 0.6922 0.9363  1 Zr 2.60
Br 0.8681 0.8078 0.4363  1 Zr 2.60

=====

[8]
Compound: HgSbBr2
Source: Alexandria via LeMat-Bulk
Functional: PBEsol
Structure: optimized geometry

Summary:
**E_tot**: -8.608 eV/cell
**SG**: No. 139

abc: 5.2164 5.2164 5.2164
angles: 120.07 120.07 89.87
Closest atoms and distances in Å follow each position.
Fractional positions:
Hg 0.0000 0.0000 0.0000  8 Br 3.19
Sb 0.5000 0.5000 0.0000  8 Br 3.19
Br 0.2500 0.7500 0.5000  4 Hg 3.19, 4 Sb 3.19
Br 0.7500 0.2500 0.5000  4 Hg 3.19, 4 Sb 3.19

=====

[9]
Compound: HgSbBr2
Source: Alexandria via LeMat-Bulk
Functional: PBEsol
Structure: optimized geometry

Summary:
**E_tot**: -9.271 eV/cell
**SG**: No. 44

abc: 7.1332 7.1332 7.1332
angles: 151.77 139.30 50.27
Closest atoms and distances in Å follow each position.
Fractional positions:
Hg 0.0000 0.0000 0.0000  2 Sb 3.08, 4 Br 3.36
Sb 0.1970 0.6970 0.5000  6 Br 3.01-3.03, 2 Hg 3.08
Br 0.3870 0.3870 0.0000  2 Sb 3.01, 4 Hg 3.36
Br 0.6879 0.1879 0.5000  4 Sb 3.03

=====

[10]
Compound: Hg2SbBr
Source: Alexandria via LeMat-Bulk
Functional: PBEsol
Structure: optimized geometry

Summary:
**E_tot**: -15.967 eV/cell
**SG**: No. 122

abc: 8.2762 8.2762 8.2762
angles: 135.05 135.05 65.45
Closest atoms and distances in Å follow each position.
Fractional positions:
Hg 0.0855 0.6250 0.9605  2 Sb 2.70, 2 Br 2.98
Hg 0.3750 0.3355 0.4605  2 Sb 2.70, 2 Br 2.98
Hg 0.6645 0.1250 0.0395  2 Sb 2.70, 2 Br 2.98
Hg 0.8750 0.9145 0.5395  2 Sb 2.70, 2 Br 2.98
Sb 0.0000 0.0000 0.0000  4 Hg 2.70
Sb 0.7500 0.2500 0.5000  4 Hg 2.70
Br 0.2500 0.7500 0.5000  4 Hg 2.98
Br 0.5000 0.5000 0.0000  4 Hg 2.98

=====

[11]
Compound: HgSbBr4
Source: Alexandria via LeMat-Bulk
Functional: PBEsol
Structure: optimized geometry

Summary:
**E_tot**: -9.422 eV/cell
**SG**: No. 216

abc: 6.0984 6.0984 6.0984
angles: 60.00 60.00 60.00
Closest atoms and distances in Å follow each position.
Fractional positions:
Hg 0.0000 0.0000 0.0000  12 Br 3.58, 4 Sb 3.73
Sb 0.7500 0.7500 0.7500  12 Br 3.57, 4 Hg 3.73
Br 0.3752 0.3752 0.3752  6 Br 3.04-3.06
Br 0.3752 0.3752 0.8743  6 Br 3.04-3.06
Br 0.3752 0.8743 0.3752  6 Br 3.04-3.06
Br 0.8743 0.3752 0.3752  6 Br 3.04-3.06

=====

[12]
Compound: HgSbBr2
Source: Alexandria via LeMat-Bulk
Functional: PBEsol
Structure: optimized geometry

Summary:
**E_tot**: -8.580 eV/cell
**SG**: No. 123

abc: 5.1615 5.1615 3.7946
angles: 90.00 90.00 90.00
Closest atoms and distances in Å follow each position.
Fractional positions:
Hg 0.0000 0.0000 0.0000  8 Br 3.20
Sb 0.5000 0.5000 0.0000  8 Br 3.20
Br 0.0000 0.5000 0.5000  4 Sb 3.20, 4 Hg 3.20
Br 0.5000 0.0000 0.5000  4 Sb 3.20, 4 Hg 3.20

=====

[13]
Compound: Hg2SbTeBr
Source: Alexandria via LeMat-Bulk
Functional: PBEsol
Structure: optimized geometry

Summary:
**E_tot**: -8.126 eV/cell
**SG**: No. 123

abc: 5.2746 5.2746 5.8226
angles: 90.00 90.00 90.00
Closest atoms and distances in Å follow each position.
Fractional positions:
Hg 0.0000 0.5000 0.0000  2 Br 2.64
Hg 0.5000 0.0000 0.0000  2 Br 2.64
Sb 0.0000 0.0000 0.5000  2 Br 2.91
Te 0.5000 0.5000 0.5000  4 Sb 3.73, 8 Hg 3.93
Br 0.0000 0.0000 0.0000  4 Hg 2.64, 2 Sb 2.91

=====

[14]
Compound: TlHg3Sb2Br3
Source: Alexandria via LeMat-Bulk
Functional: PBEsol
Structure: optimized geometry

Summary:
**E_tot**: -89.057 eV/cell
**SG**: No. 57

abc: 6.5884 13.1246 13.1231
angles: 90.00 90.00 90.00
Closest atoms and distances in Å follow each position.
Fractional positions:
Tl 0.0027 0.2437 0.2500  6 Br 3.16-3.50
Tl 0.0027 0.2563 0.7500  6 Br 3.16-3.50
Tl 0.9973 0.7437 0.2500  6 Br 3.16-3.50
Tl 0.9973 0.7563 0.7500  6 Br 3.16-3.50
Hg 0.0000 0.0000 0.0000  2 Sb 2.68
Hg 0.0000 0.0000 0.5000  2 Sb 2.68
Hg 0.0000 0.5000 0.0000  2 Sb 2.68
Hg 0.0000 0.5000 0.5000  2 Sb 2.68
Hg 0.4704 0.7500 0.0000  2 Sb 2.69, 1 Br 2.85
Hg 0.4704 0.7500 0.5000  2 Sb 2.69, 1 Br 2.85
Hg 0.4742 0.5086 0.7500  2 Sb 2.69, 2 Br 2.83-2.84
Hg 0.4742 0.9914 0.2500  2 Sb 2.69, 2 Br 2.83-2.84
Hg 0.5258 0.0086 0.7500  2 Sb 2.69, 2 Br 2.83-2.84
Hg 0.5258 0.4914 0.2500  2 Sb 2.69, 2 Br 2.83-2.84
Hg 0.5296 0.2500 0.0000  2 Sb 2.69, 1 Br 2.85
Hg 0.5296 0.2500 0.5000  2 Sb 2.69, 1 Br 2.85
Sb 0.3717 0.5600 0.5583  3 Hg 2.68-2.69, 1 Sb 2.77
Sb 0.3717 0.5600 0.9417  3 Hg 2.68-2.69, 1 Sb 2.77
Sb 0.3717 0.9400 0.0583  3 Hg 2.68-2.69, 1 Sb 2.77
Sb 0.3717 0.9400 0.4417  3 Hg 2.68-2.69, 1 Sb 2.77
Sb 0.6283 0.0600 0.5583  3 Hg 2.68-2.69, 1 Sb 2.77
Sb 0.6283 0.0600 0.9417  3 Hg 2.68-2.69, 1 Sb 2.77
Sb 0.6283 0.4400 0.0583  3 Hg 2.68-2.69, 1 Sb 2.77
Sb 0.6283 0.4400 0.4417  3 Hg 2.68-2.69, 1 Sb 2.77
Br 0.0950 0.0075 0.7500  1 Hg 2.84
Br 0.0950 0.4925 0.2500  1 Hg 2.84
Br 0.0977 0.2500 0.0000  1 Hg 2.85
Br 0.0977 0.2500 0.5000  1 Hg 2.85
Br 0.4766 0.2073 0.2500  1 Hg 2.83, 1 Tl 3.16
Br 0.4766 0.2927 0.7500  1 Hg 2.83, 1 Tl 3.16
Br 0.5234 0.7073 0.2500  1 Hg 2.83, 1 Tl 3.16
Br 0.5234 0.7927 0.7500  1 Hg 2.83, 1 Tl 3.16
Br 0.9023 0.7500 0.0000  1 Hg 2.85
Br 0.9023 0.7500 0.5000  1 Hg 2.85
Br 0.9050 0.5075 0.7500  1 Hg 2.84
Br 0.9050 0.9925 0.2500  1 Hg 2.84

=====

[15]
Compound: ScHgBr2
Source: Alexandria via LeMat-Bulk
Functional: PBEsol
Structure: optimized geometry

Summary:
**E_tot**: -15.339 eV/cell
**SG**: No. 12

abc: 3.6036 3.6036 9.8776
angles: 99.95 99.95 60.01
Closest atoms and distances in Å follow each position.
Fractional positions:
Sc 0.0000 0.0000 0.0000  6 Br 2.69
Hg 0.5000 0.5000 0.5000  6 Hg 3.60, 6 Br 3.74-3.78
Br 0.2780 0.2780 0.8244  3 Sc 2.69
Br 0.7220 0.7220 0.1756  3 Sc 2.69

=====

[16]
Compound: HgSe2Br
Source: Alexandria via LeMat-Bulk
Functional: PBEsol
Structure: optimized geometry

Summary:
**E_tot**: -10.344 eV/cell
**SG**: No. 99

abc: 3.7929 3.7929 8.0137
angles: 90.00 90.00 90.00
Closest atoms and distances in Å follow each position.
Fractional positions:
Hg 0.0000 0.0000 0.0000  1 Se 2.62, 4 Br 2.89
Se 0.0000 0.0000 0.3269  1 Hg 2.62, 4 Se 2.69
Se 0.5000 0.5000 0.3563  4 Se 2.69
Br 0.5000 0.5000 0.8661  4 Hg 2.89

=====

[17]
Compound: HgSe2Br
Source: Alexandria via LeMat-Bulk
Functional: PBEsol
Structure: optimized geometry

Summary:
**E_tot**: -8.409 eV/cell
**SG**: No. 123

abc: 5.2550 5.2550 3.1383
angles: 90.00 90.00 90.00
Closest atoms and distances in Å follow each position.
Fractional positions:
Hg 0.0000 0.0000 0.0000  8 Se 3.06, 2 Hg 3.14
Se 0.0000 0.5000 0.5000  4 Br 3.06, 4 Hg 3.06, 2 Se 3.14
Se 0.5000 0.0000 0.5000  4 Br 3.06, 4 Hg 3.06, 2 Se 3.14
Br 0.5000 0.5000 0.0000  8 Se 3.06, 2 Br 3.14

=====

[18]
Compound: HgSe2Br
Source: Alexandria via LeMat-Bulk
Functional: PBEsol
Structure: optimized geometry

Summary:
**E_tot**: -9.433 eV/cell
**SG**: No. 65

abc: 3.9512 3.9512 7.6861
angles: 90.00 90.00 121.29
Closest atoms and distances in Å follow each position.
Fractional positions:
Hg 0.0000 0.0000 0.0000  4 Se 2.59
Se 0.5000 0.5000 0.2239  2 Hg 2.59, 2 Br 2.87
Se 0.5000 0.5000 0.7761  2 Hg 2.59, 2 Br 2.87
Br 0.0000 0.0000 0.5000  4 Se 2.87

=====

[19]
Compound: HgSe2Br
Source: Alexandria via LeMat-Bulk
Functional: PBEsol
Structure: optimized geometry

Summary:
**E_tot**: -9.330 eV/cell
**SG**: No. 119

abc: 7.7794 7.7794 7.7794
angles: 151.65 151.65 40.53
Closest atoms and distances in Å follow each position.
Fractional positions:
Hg 0.0000 0.0000 0.0000  4 Se 2.69
Se 0.5000 0.5000 0.0000  4 Hg 2.69
Se 0.7500 0.2500 0.5000  4 Br 2.69
Br 0.2500 0.7500 0.5000  4 Se 2.69

=====

[20]
Compound: Hg3Se2Br2
Source: Alexandria via LeMat-Bulk
Functional: PBEsol
Structure: optimized geometry

Summary:
**E_tot**: -61.948 eV/cell
**SG**: No. 12

abc: 9.7896 9.7896 10.0325
angles: 90.77 90.77 56.43
Closest atoms and distances in Å follow each position.
Fractional positions:
Hg 0.0000 0.5000 0.0000  2 Se 2.54
Hg 0.0280 0.0280 0.2855  2 Se 2.52
Hg 0.1627 0.5938 0.2948  2 Se 2.55, 1 Br 2.85
Hg 0.2503 0.7497 0.0000  2 Se 2.54
Hg 0.2720 0.2720 0.7142  2 Se 2.52
Hg 0.4062 0.8373 0.7052  2 Se 2.55, 1 Br 2.85
Hg 0.5000 0.0000 0.0000  2 Se 2.54
Hg 0.5938 0.1627 0.2948  2 Se 2.55, 1 Br 2.85
Hg 0.7280 0.7280 0.2858  2 Se 2.52
Hg 0.7497 0.2503 0.0000  2 Se 2.54
Hg 0.8373 0.4062 0.7052  2 Se 2.55, 1 Br 2.85
Hg 0.9720 0.9720 0.7145  2 Se 2.52
Se 0.0023 0.4632 0.2504  3 Hg 2.52-2.55
Se 0.2464 0.7077 0.7502  3 Hg 2.52-2.55
Se 0.2923 0.7536 0.2498  3 Hg 2.52-2.55
Se 0.4632 0.0023 0.2504  3 Hg 2.52-2.55
Se 0.5368 0.9977 0.7496  3 Hg 2.52-2.55
Se 0.7077 0.2464 0.7502  3 Hg 2.52-2.55
Se 0.7536 0.2923 0.2498  3 Hg 2.52-2.55
Se 0.9977 0.5368 0.7496  3 Hg 2.52-2.55
Br 0.1217 0.1217 0.5338  5 Hg 2.95-3.18
Br 0.1230 0.1230 0.9743  4 Hg 3.16-3.19
Br 0.3728 0.3728 0.0267  6 Hg 3.15-3.35
Br 0.3828 0.3828 0.4970  3 Hg 2.85-2.92
Br 0.6172 0.6172 0.5030  3 Hg 2.85-2.92
Br 0.6272 0.6272 0.9733  6 Hg 3.15-3.35
Br 0.8770 0.8770 0.0257  4 Hg 3.16-3.19
Br 0.8783 0.8783 0.4662  5 Hg 2.95-3.18

=====

[21]
Compound: Sn2HgSeBr
Source: Alexandria via LeMat-Bulk
Functional: PBEsol
Structure: optimized geometry

Summary:
**E_tot**: -11.852 eV/cell
**SG**: No. 123

abc: 5.5139 5.5139 5.4603
angles: 90.00 90.00 90.00
Closest atoms and distances in Å follow each position.
Fractional positions:
Sn 0.0000 0.5000 0.0000  2 Br 2.76
Sn 0.5000 0.0000 0.0000  2 Br 2.76
Hg 0.0000 0.0000 0.5000  2 Br 2.73
Se 0.5000 0.5000 0.5000  8 Sn 3.88, 4 Hg 3.90
Br 0.0000 0.0000 0.0000  2 Hg 2.73, 4 Sn 2.76

=====

[22]
Compound: HgWSe2Br
Source: Alexandria via LeMat-Bulk
Functional: PBEsol
Structure: optimized geometry

Summary:
**E_tot**: -23.142 eV/cell
**SG**: No. 123

abc: 4.8597 4.8597 5.1819
angles: 90.00 90.00 90.00
Closest atoms and distances in Å follow each position.
Fractional positions:
Hg 0.0000 0.0000 0.0000  4 Br 3.44, 8 Se 3.55
W 0.5000 0.5000 0.5000  4 Se 2.43, 2 Br 2.59
Se 0.0000 0.5000 0.5000  2 W 2.43
Se 0.5000 0.0000 0.5000  2 W 2.43
Br 0.5000 0.5000 0.0000  2 W 2.59

=====

[23]
Compound: ZnHgSe2Br
Source: Alexandria via LeMat-Bulk
Functional: PBEsol
Structure: optimized geometry

Summary:
**E_tot**: -10.150 eV/cell
**SG**: No. 123

abc: 4.6236 4.6236 6.1159
angles: 90.00 90.00 90.00
Closest atoms and distances in Å follow each position.
Fractional positions:
Zn 0.0000 0.0000 0.0000  4 Se 2.31
Hg 0.0000 0.0000 0.5000  2 Zn 3.06, 4 Br 3.27
Se 0.0000 0.5000 0.0000  2 Zn 2.31
Se 0.5000 0.0000 0.0000  2 Zn 2.31
Br 0.5000 0.5000 0.5000  4 Hg 3.27

=====

[24]
Compound: ZrHgSe2Br
Source: Alexandria via LeMat-Bulk
Functional: PBEsol
Structure: optimized geometry

Summary:
**E_tot**: -16.812 eV/cell
**SG**: No. 123

abc: 5.1347 5.1347 5.1579
angles: 90.00 90.00 90.00
Closest atoms and distances in Å follow each position.
Fractional positions:
Zr 0.0000 0.0000 0.0000  4 Br 3.63, 8 Se 3.64
Hg 0.5000 0.5000 0.5000  4 Se 2.57, 2 Br 2.58
Se 0.0000 0.5000 0.5000  2 Hg 2.57
Se 0.5000 0.0000 0.5000  2 Hg 2.57
Br 0.5000 0.5000 0.0000  2 Hg 2.58